1.
9
Lattice="-1.403 1.403 16.659 1.403 -1.403 16.659 1.403 1.403 -16.659" Properties=species:S:1:pos:R:3 comment="Cu5Ag4 (PBE, optimized geometry)" mass_density_g_cm3=9.487 ef_ev_per_atom=0.077 pbc="T T T"
Cu 0.000 0.000 0.000
Cu 0.000 0.000 3.119
Cu 0.000 0.000 18.213
Cu 0.000 0.000 25.739
Cu 0.000 0.000 29.488
Ag 0.000 0.000 7.208
Ag 0.000 0.000 10.958
Ag 0.000 0.000 14.735
Ag 0.000 0.000 21.688

***

2.
12
Lattice="5.245 0.000 0.000 -2.622 4.542 0.000 0.000 0.000 8.907" Properties=species:S:1:pos:R:3 comment="TaAl5 (PBE, optimized geometry)" mass_density_g_cm3=4.944 energy_ry_per_atom=-0.3659 total_magnetization_mub_per_atom=0.0443 pbc="T T T"
Ta 0.000 0.000 0.000
Ta 0.000 0.000 4.453
Al 0.000 1.520 2.227
Al -1.306 3.782 2.227
Al 0.000 3.028 4.706
Al 0.000 3.028 8.655
Al 1.317 0.760 6.680
Al 1.306 3.782 2.227
Al 2.622 1.514 0.252
Al 2.622 1.514 4.201
Al 3.928 0.760 6.680
Al 2.622 3.022 6.680

***

3.
8
Lattice="3.126 1.805 9.849 -3.126 1.805 9.849 0.000 -3.609 9.849" Properties=species:S:1:pos:R:3 comment="Cs2K3CuSb2 (PBE, optimized geometry)" mass_density_g_cm3=3.438 energy_ry_per_atom=-0.1781 pbc="T T T"
Cs 0.000 0.000 6.395
Cs 0.000 0.000 23.152
K 0.000 0.000 10.787
K 0.000 0.000 14.774
K 0.000 0.000 18.760
Cu 0.000 0.000 0.000
Sb 0.000 0.000 2.498
Sb 0.000 0.000 27.050

***

4.
3
Lattice="0.000 3.184 3.184 3.184 0.000 3.184 3.184 3.184 0.000" Properties=species:S:1:pos:R:3 comment="UGaSi (PBE, optimized geometry)" mass_density_g_cm3=8.642 energy_ry_per_atom=-0.4597 total_magnetization_mub_per_atom=0.9149 pbc="T T T"
U 0.000 0.000 0.000
Ga 4.775 4.775 4.775
Si 3.184 3.184 3.184

***

5.
12
Lattice="6.426 0.000 0.000 0.000 6.426 0.000 0.000 0.000 8.789" Properties=species:S:1:pos:R:3 comment="RbPrSe4 (PBE, optimized geometry)" mass_density_g_cm3=4.962 energy_ry_per_atom=-0.3272 total_magnetization_mub_per_atom=0.0005 pbc="T T T"
Rb 1.606 1.606 0.000
Rb 4.819 4.819 0.000
Pr 1.606 1.606 4.395
Pr 4.819 4.819 4.395
Se 0.748 3.961 2.587
Se 0.748 5.678 6.202
Se 2.465 3.961 6.202
Se 2.465 5.678 2.587
Se 3.961 0.748 6.202
Se 3.961 2.465 2.587
Se 5.678 0.748 2.587
Se 5.678 2.465 6.202

***

6.
8
Lattice="4.276 0.000 0.000 0.000 4.276 0.000 0.000 0.000 6.050" Properties=species:S:1:pos:R:3 comment="In2Cu5Ni (PBE, optimized geometry)" mass_density_g_cm3=9.096 energy_ry_per_atom=-0.2694 total_magnetization_mub_per_atom=0.0003 pbc="T T T"
In 0.000 0.000 0.000
In 2.138 2.138 3.025
Cu 0.000 0.000 3.025
Cu 0.000 2.138 1.510
Cu 0.000 2.138 4.540
Cu 2.138 0.000 1.510
Cu 2.138 0.000 4.540
Ni 2.138 2.138 0.000

***

7.
8
Lattice="3.967 0.000 0.000 -1.984 3.436 0.000 0.000 0.000 14.071" Properties=species:S:1:pos:R:3 comment="LiSc2Pt (PBE, optimized geometry)" mass_density_g_cm3=5.056 energy_ry_per_atom=-0.4073 total_magnetization_mub_per_atom=0.0003 pbc="T T T"
Li 0.000 2.290 3.518
Li 1.984 1.145 10.553
Sc 0.000 2.290 8.346
Sc 0.000 2.290 12.760
Sc 1.984 1.145 1.311
Sc 1.984 1.145 5.725
Pt 0.000 0.000 0.000
Pt 0.000 0.000 7.035

***

8.
3
Lattice="0.000 3.073 3.073 3.073 0.000 3.073 3.073 3.073 0.000" Properties=species:S:1:pos:R:3 comment="NaMoPd (PBE, optimized geometry)" mass_density_g_cm3=6.447 energy_ry_per_atom=-0.3513 total_magnetization_mub_per_atom=0.0178 pbc="T T T"
Na 0.000 0.000 0.000
Mo 3.073 3.073 3.073
Pd 4.610 4.610 4.610

***

Repeat the fourth record exactly.
3
Lattice="0.000 3.184 3.184 3.184 0.000 3.184 3.184 3.184 0.000" Properties=species:S:1:pos:R:3 comment="UGaSi (PBE, optimized geometry)" mass_density_g_cm3=8.642 energy_ry_per_atom=-0.4597 total_magnetization_mub_per_atom=0.9149 pbc="T T T"
U 0.000 0.000 0.000
Ga 4.775 4.775 4.775
Si 3.184 3.184 3.184